[1]
Mg8Ga2Sn | PBE-GGA | relaxed Values from VASP.

Cell and atoms, written as Quantum ESPRESSO input:
```
&SYSTEM
  ibrav = 0, nat = 11, ntyp = 3
/
ATOMIC_SPECIES
Sn 118.71 Sn.upf
Ga 69.72 Ga.upf
Mg 24.30 Mg.upf
CELL_PARAMETERS angstrom
4.819 0.000 -1.080
-0.226 5.075 -1.010
-0.259 0.059 10.137
ATOMIC_POSITIONS crystal
Sn 0.500 0.000 0.000
Ga 0.830 0.257 0.660
Ga 0.170 0.743 0.340
Mg 0.328 0.899 0.656
Mg 0.414 0.438 0.829
Mg 0.586 0.562 0.171
Mg 0.916 0.836 0.832
Mg 0.084 0.164 0.168
Mg 0.751 0.674 0.501
Mg 0.672 0.101 0.344
Mg 0.249 0.326 0.499
```

Values from the calculation:
Calculated total energy (eV/atom): -2.131
M_tot (μB/atom): 0.0000
Formation energy from the elements (eV per atom): -0.057
Space group: C2/m, No. 12
Fermi-level density of states (states/eV/cell): 4.86
Energy above the lowest structure with this stoichiometry (eV per formula unit): 0.467

***

[2]
MgGa6Sn | PBE-GGA | relaxed Values from VASP.

Cell and atoms, written as Quantum ESPRESSO input:
```
&SYSTEM
  ibrav = 0, nat = 8, ntyp = 3
/
ATOMIC_SPECIES
Ga 69.72 Ga.upf
Sn 118.71 Sn.upf
Mg 24.30 Mg.upf
CELL_PARAMETERS angstrom
-2.008 -1.199 3.571
3.488 -2.120 1.249
2.890 7.120 4.016
ATOMIC_POSITIONS crystal
Ga 0.000 0.500 0.737
Ga 0.000 0.500 0.263
Ga 0.500 0.000 0.263
Ga 0.500 0.500 0.500
Ga 0.500 0.500 0.000
Ga 0.500 0.000 0.737
Sn 0.000 0.000 0.000
Mg 0.000 0.000 0.500
```

Values from the calculation:
Calculated total energy (eV/atom): -2.981
M_tot (μB/atom): 0.0000
Formation energy from the elements (eV per atom): -0.012
Space group: P4/mmm, No. 123
Fermi-level density of states (states/eV/cell): 3.16
Energy above the lowest structure with this stoichiometry (eV per formula unit): 0.101

***

[3]
MgGaSn2 | PBE-GGA | relaxed Values from VASP.

Cell and atoms, written as Quantum ESPRESSO input:
```
&SYSTEM
  ibrav = 0, nat = 8, ntyp = 3
/
ATOMIC_SPECIES
Sn 118.71 Sn.upf
Ga 69.72 Ga.upf
Mg 24.30 Mg.upf
CELL_PARAMETERS angstrom
-5.553 -3.418 -4.864
4.397 -6.841 -0.212
-2.063 -6.159 -0.119
ATOMIC_POSITIONS crystal
Sn 0.086 0.625 0.250
Sn 0.875 0.914 0.750
Sn 0.664 0.125 0.250
Sn 0.375 0.336 0.750
Ga 0.000 0.000 0.000
Ga 0.750 0.250 0.500
Mg 0.500 0.500 0.000
Mg 0.250 0.750 0.500
```

Values from the calculation:
Calculated total energy (eV/atom): -3.141
M_tot (μB/atom): 0.0000
Formation energy from the elements (eV per atom): 0.016
Space group: I-42d, No. 122
Fermi-level density of states (states/eV/cell): 4.42
Energy above the lowest structure with this stoichiometry (eV per formula unit): 0.225

***

[4]
MgGaSn | PBE-GGA | relaxed Values from VASP.

Cell and atoms, written as Quantum ESPRESSO input:
```
&SYSTEM
  ibrav = 0, nat = 6, ntyp = 3
/
ATOMIC_SPECIES
Mg 24.30 Mg.upf
Ga 69.72 Ga.upf
Sn 118.71 Sn.upf
CELL_PARAMETERS angstrom
3.211 0.000 0.000
0.000 3.211 0.000
-1.606 -1.606 13.391
ATOMIC_POSITIONS crystal
Mg 0.616 0.616 0.233
Mg 0.384 0.384 0.767
Ga 0.048 0.048 0.096
Ga 0.952 0.952 0.904
Sn 0.798 0.798 0.596
Sn 0.202 0.202 0.404
```

Values from the calculation:
Calculated total energy (eV/atom): -2.910
M_tot (μB/atom): 0.0000
Formation energy from the elements (eV per atom): -0.035
Space group: I4/mmm, No. 139
Fermi-level density of states (states/eV/cell): 2.64
Energy above the lowest structure with this stoichiometry (eV per formula unit): 0.062

***

[5]
Mg2Ga2Sn | PBE-GGA | relaxed Values from VASP.

Cell and atoms, written as Quantum ESPRESSO input:
```
&SYSTEM
  ibrav = 0, nat = 5, ntyp = 3
/
ATOMIC_SPECIES
Ga 69.72 Ga.upf
Sn 118.71 Sn.upf
Mg 24.30 Mg.upf
CELL_PARAMETERS angstrom
4.412 0.203 0.001
-1.703 4.075 0.001
-0.001 -0.001 6.095
ATOMIC_POSITIONS crystal
Ga 0.826 0.174 0.500
Ga 0.174 0.826 0.500
Sn 0.000 0.000 0.000
Mg 0.500 0.500 0.247
Mg 0.500 0.500 0.753
```

Values from the calculation:
Calculated total energy (eV/atom): -2.677
M_tot (μB/atom): 0.0000
Formation energy from the elements (eV per atom): -0.028
Space group: Cmmm, No. 65
Fermi-level density of states (states/eV/cell): 1.39
Energy above the lowest structure with this stoichiometry (eV per formula unit): 0.335

***

[6]
Mg4Ga5Sn2 | PBE-GGA | relaxed Values from VASP.

Cell and atoms, written as Quantum ESPRESSO input:
```
&SYSTEM
  ibrav = 0, nat = 11, ntyp = 3
/
ATOMIC_SPECIES
Mg 24.30 Mg.upf
Sn 118.71 Sn.upf
Ga 69.72 Ga.upf
CELL_PARAMETERS angstrom
-3.740 0.620 -1.858
2.964 -0.462 -6.120
-2.877 -8.299 3.021
ATOMIC_POSITIONS crystal
Mg 0.500 0.771 0.584
Mg 0.500 0.229 0.416
Mg 0.500 0.199 0.939
Mg 0.500 0.801 0.061
Sn 0.000 0.129 0.679
Sn 0.000 0.871 0.321
Ga 0.000 0.849 0.862
Ga 0.000 0.500 0.638
Ga 0.000 0.500 0.362
Ga 0.000 0.151 0.138
Ga 0.000 0.500 0.000
```

Values from the calculation:
Calculated total energy (eV/atom): -2.710
M_tot (μB/atom): 0.0000
Formation energy from the elements (eV per atom): -0.027
Space group: P2/m, No. 10
Fermi-level density of states (states/eV/cell): 2.90

***

[7]
Mg3GaSn | PBE-GGA | relaxed Values from VASP.

Cell and atoms, written as Quantum ESPRESSO input:
```
&SYSTEM
  ibrav = 0, nat = 5, ntyp = 3
/
ATOMIC_SPECIES
Mg 24.30 Mg.upf
Ga 69.72 Ga.upf
Sn 118.71 Sn.upf
CELL_PARAMETERS angstrom
5.054 0.000 0.000
0.000 5.054 0.000
0.000 0.000 5.054
ATOMIC_POSITIONS crystal
Mg 0.000 0.500 0.000
Mg 0.000 0.000 0.500
Mg 0.500 0.000 0.000
Ga 0.000 0.000 0.000
Sn 0.500 0.500 0.500
```

Values from the calculation:
Calculated total energy (eV/atom): -2.210
M_tot (μB/atom): 0.0000
Formation energy from the elements (eV per atom): 0.153
Space group: Pm-3m, No. 221
Fermi-level density of states (states/eV/cell): 3.69
Energy above the lowest structure with this stoichiometry (eV per formula unit): 1.118

***

[8]
Mg6GaSn | PBE-GGA | relaxed Values from VASP.

Cell and atoms, written as Quantum ESPRESSO input:
```
&SYSTEM
  ibrav = 0, nat = 8, ntyp = 3
/
ATOMIC_SPECIES
Mg 24.30 Mg.upf
Ga 69.72 Ga.upf
Sn 118.71 Sn.upf
CELL_PARAMETERS angstrom
4.428 0.000 0.000
0.000 4.428 0.000
0.000 0.000 8.837
ATOMIC_POSITIONS crystal
Mg 0.500 0.000 0.259
Mg 0.500 0.500 0.500
Mg 0.000 0.500 0.259
Mg 0.500 0.000 0.741
Mg 0.000 0.500 0.741
Mg 0.500 0.500 0.000
Ga 0.000 0.000 0.500
Sn 0.000 0.000 0.000
```

Values from the calculation:
Calculated total energy (eV/atom): -2.177
M_tot (μB/atom): 0.0000
Formation energy from the elements (eV per atom): -0.102
Space group: P4/mmm, No. 123
Fermi-level density of states (states/eV/cell): 3.49
Energy above the lowest structure with this stoichiometry (eV per formula unit): 0.000

***

- Which value of calculated total energy does entry 4 give?
  -2.910 eV/atom